! PBE Li4Tl2HgPd, optimized geometry; values from VASP
! Calculated density (g/cm3): 8.478
! Energy (eV per atom): -2.54
&SYSTEM
  ibrav = 0, nat = 8, ntyp = 4
/
ATOMIC_SPECIES
Li 6.94 Li.upf
Tl 204.38 Tl.upf
Hg 200.59 Hg.upf
Pd 106.42 Pd.upf
CELL_PARAMETERS angstrom
4.6397 0.0000 0.0000
0.0000 4.6397 0.0000
0.0000 0.0000 6.7650
ATOMIC_POSITIONS angstrom
Li 0.0000 0.0000 0.0000
Li 0.0000 2.3198 1.6144
Li 2.3198 0.0000 5.1506
Li 2.3198 2.3198 3.3825
Tl 0.0000 2.3198 5.2299
Tl 2.3198 0.0000 1.5352
Hg 0.0000 0.0000 3.3825
Pd 2.3198 2.3198 0.0000



! PBE NbGaCuAg, optimized geometry; values from VASP
! Spin magnetization (μB/atom): 0.02
! Excess energy over the best structure of this formula in the dataset (eV/atom): 0.000
! Calculated density (g/cm3): 8.684
&SYSTEM
  ibrav = 0, nat = 4, ntyp = 4
/
ATOMIC_SPECIES
Nb 92.91 Nb.upf
Ga 69.72 Ga.upf
Cu 63.55 Cu.upf
Ag 107.87 Ag.upf
CELL_PARAMETERS angstrom
0.0000 3.1728 3.1728
3.1728 0.0000 3.1728
3.1728 3.1728 0.0000
ATOMIC_POSITIONS angstrom
Nb 0.0000 0.0000 0.0000
Ga 1.5864 1.5864 1.5864
Cu 3.1728 3.1728 3.1728
Ag 4.7591 4.7591 4.7591



! PBE KNaZrTe3, optimized geometry; values from VASP
! Spin magnetization (μB/atom): 0.00
! Excess energy over the best structure of this formula in the dataset (eV/atom): 0.077
! Calculated density (g/cm3): 4.405
&SYSTEM
  ibrav = 0, nat = 24, ntyp = 4
/
ATOMIC_SPECIES
K 39.10 K.upf
Na 22.99 Na.upf
Zr 91.22 Zr.upf
Te 127.60 Te.upf
CELL_PARAMETERS angstrom
15.7090 0.0000 0.0000
0.0000 4.3145 0.0000
0.0000 0.0000 11.9274
ATOMIC_POSITIONS angstrom
K 3.6736 1.0786 0.5299
K 4.1809 3.2359 6.4936
K 11.5281 1.0786 5.4338
K 12.0355 3.2359 11.3975
Na 0.3583 3.2359 1.0607
Na 7.4962 1.0786 7.0244
Na 8.2128 3.2359 4.9030
Na 15.3507 1.0786 10.8667
Zr 0.2191 1.0786 3.9836
Zr 7.6354 3.2359 9.9474
Zr 8.0736 1.0786 1.9801
Zr 15.4899 3.2359 7.9438
Te 1.4250 1.0786 6.7345
Te 1.5906 3.2359 10.1449
Te 2.1782 3.2359 3.3560
Te 5.6763 1.0786 9.3197
Te 6.2640 1.0786 4.1812
Te 6.4295 3.2359 0.7708
Te 9.2795 1.0786 11.1567
Te 9.4451 3.2359 7.7462
Te 10.0327 3.2359 2.6077
Te 13.5308 1.0786 8.5714
Te 14.1185 1.0786 1.7825
Te 14.2841 3.2359 5.1929



! PBE KRb2CdCl6, optimized geometry; values from VASP
! Excess energy over the best structure of this formula in the dataset (eV/atom): 0.000
! Calculated density (g/cm3): 2.853
&SYSTEM
  ibrav = 0, nat = 10, ntyp = 4
/
ATOMIC_SPECIES
K 39.10 K.upf
Rb 85.47 Rb.upf
Cd 112.41 Cd.upf
Cl 35.45 Cl.upf
CELL_PARAMETERS angstrom
7.0646 0.0000 0.0000
-3.5006 6.5126 0.0000
-3.3883 -1.9578 6.7695
ATOMIC_POSITIONS angstrom
K 0.0000 0.0000 0.0000
Rb 0.0471 4.3308 1.7237
Rb 0.1286 0.2240 5.0459
Cd -3.4445 2.2774 3.3848
Cl -1.7070 0.6915 2.3438
Cl -3.5347 0.8189 5.5916
Cl -1.6667 3.7645 4.5506
Cl 1.8424 0.7903 2.2190
Cl 3.7104 3.7358 1.1779
Cl 1.8826 3.8633 4.4258



! PBE BeSiOsPb, optimized geometry; values from VASP
! Spin magnetization (μB/atom): 0.00
! Excess energy over the best structure of this formula in the dataset (eV/atom): 0.000
! Calculated density (g/cm3): 11.249
&SYSTEM
  ibrav = 0, nat = 4, ntyp = 4
/
ATOMIC_SPECIES
Be 9.01 Be.upf
Si 28.09 Si.upf
Os 190.23 Os.upf
Pb 207.20 Pb.upf
CELL_PARAMETERS angstrom
0.0000 3.1771 3.1771
3.1771 0.0000 3.1771
3.1771 3.1771 0.0000
ATOMIC_POSITIONS angstrom
Be 0.0000 0.0000 0.0000
Si 4.7657 4.7657 4.7657
Os 3.1771 3.1771 3.1771
Pb 1.5886 1.5886 1.5886



! PBE Zr2CdIr, optimized geometry; values from VASP
! Spin magnetization (μB/atom): 0.25
! Energy of formation from the pure elements (eV per atom): -0.19
! Calculated density (g/cm3): 10.637
&SYSTEM
  ibrav = 0, nat = 4, ntyp = 3
/
ATOMIC_SPECIES
Zr 91.22 Zr.upf
Cd 112.41 Cd.upf
Ir 192.22 Ir.upf
CELL_PARAMETERS angstrom
0.0000 3.3625 3.3625
3.3625 0.0000 3.3625
3.3625 3.3625 0.0000
ATOMIC_POSITIONS angstrom
Zr 0.0000 0.0000 0.0000
Zr 1.6813 1.6813 1.6813
Cd 3.3625 3.3625 3.3625
Ir 5.0438 5.0438 5.0438



! PBE LiHg3PdSe4, optimized geometry; values from VASP
! Calculated density (g/cm3): 7.186
! Energy (eV per atom): -2.64
&SYSTEM
  ibrav = 0, nat = 9, ntyp = 4
/
ATOMIC_SPECIES
Li 6.94 Li.upf
Hg 200.59 Hg.upf
Pd 106.42 Pd.upf
Se 78.96 Se.upf
CELL_PARAMETERS angstrom
6.1993 0.0000 0.0000
0.0000 6.1993 0.0000
0.0000 0.0000 6.1993
ATOMIC_POSITIONS angstrom
Li 0.0000 0.0000 0.0000
Hg 0.0000 3.0996 3.0996
Hg 3.0996 0.0000 3.0996
Hg 3.0996 3.0996 0.0000
Pd 3.0996 3.0996 3.0996
Se 1.4901 1.4901 1.4901
Se 1.4901 4.7092 4.7092
Se 4.7092 1.4901 4.7092
Se 4.7092 4.7092 1.4901



! PBE BeNiBiAu, optimized geometry; values from VASP
! Spin magnetization (μB/atom): 0.00
! Excess energy over the best structure of this formula in the dataset (eV/atom): 0.095
! Calculated density (g/cm3): 11.436
&SYSTEM
  ibrav = 0, nat = 4, ntyp = 4
/
ATOMIC_SPECIES
Be 9.01 Be.upf
Ni 58.69 Ni.upf
Bi 208.98 Bi.upf
Au 196.97 Au.upf
CELL_PARAMETERS angstrom
0.0000 3.2519 3.2519
3.2519 0.0000 3.2519
3.2519 3.2519 0.0000
ATOMIC_POSITIONS angstrom
Be 0.0000 0.0000 0.0000
Ni 1.6259 1.6259 1.6259
Bi 3.2519 3.2519 3.2519
Au 4.8778 4.8778 4.8778



Q: Which value of calculated density does entry 2 give?
A: 8.684 g/cm3



Q: What is the calculated density in the third record?
A: 4.405 g/cm3



Q: The highest calculated density belongs to which entry?
A: BeNiBiAu